# 1
A relaxed structure of CsLaS2. Source: Alexandria, functional PBE.

Unit cell a=5.331 b=5.331 c=5.331 alpha=60.00 beta=60.00 gamma=60.00
Positions (direct):
Cs1 0.000 0.000 0.000
La1 0.500 0.500 0.500
S1 0.250 0.250 0.250
S2 0.750 0.750 0.750

Properties
Symmetry: No. 225

---

# 2
A relaxed structure of TbHo2Tm. Source: Alexandria, functional PBE.

Unit cell a=11.519 b=11.519 c=11.519 alpha=17.71 beta=17.71 gamma=17.71
Positions (direct):
Tb1 0.000 0.000 0.000
Ho1 0.418 0.418 0.418
Ho2 0.582 0.582 0.582
Tm1 0.834 0.834 0.834

Properties
Symmetry: No. 160
ΔH_f (0 K) (eV/atom): 0.01

---

# 3
A relaxed structure of MnCoSi2. Source: Alexandria, functional PBE.

Unit cell a=7.698 b=7.698 c=7.698 alpha=20.42 beta=20.42 gamma=20.42
Positions (direct):
Mn1 0.000 0.000 0.000
Co1 0.246 0.246 0.246
Si1 0.505 0.505 0.505
Si2 0.747 0.747 0.747

Properties
Symmetry: No. 160

---

# 4
A relaxed structure of Sc2InMo. Source: Alexandria, functional PBE.

Unit cell a=5.380 b=5.380 c=5.380 alpha=133.58 beta=133.58 gamma=67.74
Positions (direct):
Sc1 0.000 0.000 0.000
Sc2 0.750 0.250 0.500
In1 0.500 0.500 0.000
Mo1 0.250 0.750 0.500

Properties
Symmetry: No. 119
ΔH_f (0 K) (eV/atom): -0.05

---

# 5
A relaxed structure of YSc2B6. Source: Alexandria, functional PBE.

Unit cell a=5.887 b=5.887 c=5.887 alpha=146.88 beta=100.61 gamma=88.76
Positions (direct):
Y1 0.000 0.000 0.000
Sc1 0.333 0.833 0.500
Sc2 0.667 0.167 0.500
B1 0.074 0.306 0.767
B2 0.378 0.500 0.878
B3 0.461 0.694 0.767
B4 0.539 0.306 0.233
B5 0.622 0.500 0.122
B6 0.926 0.694 0.233

Properties
Symmetry: No. 71
ΔH_f (0 K) (eV/atom): -0.33

---

# 6
A relaxed structure of Cu2Pd2Rh. Source: Alexandria, functional PBE.

Unit cell a=7.092 b=7.092 c=2.840 alpha=90.00 beta=90.00 gamma=90.00
Positions (direct):
Cu1 0.123 0.377 0.000
Cu2 0.377 0.877 0.000
Cu3 0.623 0.123 0.000
Cu4 0.877 0.623 0.000
Pd1 0.174 0.674 0.500
Pd2 0.326 0.174 0.500
Pd3 0.674 0.826 0.500
Pd4 0.826 0.326 0.500
Rh1 0.000 0.000 0.000
Rh2 0.500 0.500 0.000

Properties
Symmetry: No. 127
ΔH_f (0 K) (eV/atom): 0.15

---

no.,electronic total energy (eV per atom),D(E_F) (states/eV/cell)
1,-4.866,0.00
2,-4.558,6.15
3,-6.775,2.66
4,-6.608,3.71
5,-6.908,3.02
6,-5.038,12.12